[1]
The following is a DFT calculation (PBE) of crystalline BPdO at its relaxed geometry.

Calculated values
* uncorrected formation energy: -727 meV per atom
* space group: C2/m

Geometry as CIF:
```
data_BPdO
_cell_length_a 5.161
_cell_length_b 5.161
_cell_length_c 6.587
_cell_angle_alpha 118.68
_cell_angle_beta 118.68
_cell_angle_gamma 28.64
_symmetry_space_group_name_H-M 'P 1'
_symmetry_Int_Tables_number 1
loop_
_symmetry_equiv_pos_as_xyz
'x,y,z'
loop_
_atom_site_label
_atom_site_fract_x
_atom_site_fract_y
_atom_site_fract_z
B1 0.249 0.249 0.363
B2 0.751 0.751 0.637
Pd1 0.356 0.356 0.960
Pd2 0.644 0.644 0.040
O1 0.159 0.159 0.505
O2 0.841 0.841 0.495
```

***

[2]
The following is a DFT calculation (PBE) of crystalline PmB4Pd3O12 at its relaxed geometry.

Calculated values
* uncorrected formation energy: -1678 meV per atom
* space group: R32

Geometry as CIF:
```
data_PmB4Pd3O12
_cell_length_a 6.262
_cell_length_b 6.262
_cell_length_c 6.262
_cell_angle_alpha 102.94
_cell_angle_beta 102.94
_cell_angle_gamma 102.94
_symmetry_space_group_name_H-M 'P 1'
_symmetry_Int_Tables_number 1
loop_
_symmetry_equiv_pos_as_xyz
'x,y,z'
loop_
_atom_site_label
_atom_site_fract_x
_atom_site_fract_y
_atom_site_fract_z
Pm1 0.000 0.000 0.000
B1 0.050 0.500 0.950
B2 0.500 0.500 0.500
B3 0.500 0.950 0.050
B4 0.950 0.050 0.500
Pd1 0.000 0.546 0.454
Pd2 0.454 0.000 0.546
Pd3 0.546 0.454 0.000
O1 0.027 0.634 0.806
O2 0.094 0.906 0.500
O3 0.194 0.366 0.973
O4 0.359 0.641 0.500
O5 0.366 0.973 0.194
O6 0.500 0.094 0.906
O7 0.500 0.359 0.641
O8 0.634 0.806 0.027
O9 0.641 0.500 0.359
O10 0.806 0.027 0.634
O11 0.906 0.500 0.094
O12 0.973 0.194 0.366
```

***

[3]
The following is a DFT calculation (PBE) of crystalline PmBPd2O6 at its relaxed geometry.

Calculated values
* uncorrected formation energy: -1449 meV per atom
* space group: C2/c

Geometry as CIF:
```
data_PmBPd2O6
_cell_length_a 6.818
_cell_length_b 6.818
_cell_length_c 6.493
_cell_angle_alpha 114.91
_cell_angle_beta 114.91
_cell_angle_gamma 83.45
_symmetry_space_group_name_H-M 'P 1'
_symmetry_Int_Tables_number 1
loop_
_symmetry_equiv_pos_as_xyz
'x,y,z'
loop_
_atom_site_label
_atom_site_fract_x
_atom_site_fract_y
_atom_site_fract_z
Pm1 0.159 0.841 0.750
Pm2 0.841 0.159 0.250
B1 0.179 0.821 0.250
B2 0.821 0.179 0.750
Pd1 0.313 0.381 0.888
Pd2 0.381 0.313 0.388
Pd3 0.619 0.687 0.612
Pd4 0.687 0.619 0.112
O1 0.027 0.178 0.718
O2 0.178 0.027 0.218
O3 0.192 0.671 0.017
O4 0.208 0.443 0.584
O5 0.329 0.808 0.483
O6 0.443 0.208 0.084
O7 0.557 0.792 0.916
O8 0.671 0.192 0.517
O9 0.792 0.557 0.416
O10 0.808 0.329 0.983
O11 0.822 0.973 0.782
O12 0.973 0.822 0.282
```

***

no.,magnetization (μB per cell)
1,0.0
2,1.6
3,0.0